Entry 1:
Density functional theory data (meta-GGA SCAN) for a PBEsol-optimized structure of Be3GeBr.

Cell and atoms, written as POSCAR:
```
Be3GeBr
1.0
-2.7584 3.0870 -1.3058
1.1999 -0.6695 -4.1177
-3.1297 -2.9775 -0.4279
Be Ge Br
3 1 1
direct
0.0000 0.0000 0.5000 Be
0.0000 0.5000 0.0000 Be
0.5000 0.0000 0.0000 Be
0.5000 0.5000 0.5000 Ge
0.0000 0.0000 0.0000 Br
```

## Properties
Size of the total moment ... 0.000 μB/cell
Raw formation energy ... 1464 meV per atom
Electronic total energy ... -8.858 eV/atom

Entry 2:
Density functional theory data (meta-GGA SCAN) for a PBEsol-optimized structure of BeGeBr2O.

Cell and atoms, written as POSCAR:
```
BeGeBr2O
1.0
-3.1039 -1.6968 -0.8106
1.0748 -3.6927 3.6142
-2.5146 2.8511 3.6608
O Ge Br Be
1 1 2 1
direct
0.5000 0.0000 0.0000 O
0.0000 0.0000 0.0000 Ge
0.0000 0.0000 0.5000 Br
0.0000 0.5000 0.0000 Br
0.5000 0.5000 0.5000 Be
```

## Properties
Size of the total moment ... 0.815 μB/cell
Raw formation energy ... 52 meV per atom
Electronic total energy ... -13.667 eV/atom

Entry 3:
Density functional theory data (meta-GGA SCAN) for a PBEsol-optimized structure of BeGe2PBr.

Cell and atoms, written as POSCAR:
```
BeGe2PBr
1.0
3.9109 0.0000 0.0000
0.0000 4.9166 0.0000
0.0000 0.0000 4.9166
Ge Be P Br
2 1 1 1
direct
0.0000 0.0000 0.5000 Ge
0.0000 0.5000 0.0000 Ge
0.0000 0.0000 0.0000 Be
0.5000 0.0000 0.0000 P
0.5000 0.5000 0.5000 Br
```

## Properties
Size of the total moment ... 0.000 μB/cell
Energy above the most stable polymorph in this dataset ... 0.000 eV/atom
Raw formation energy ... 475 meV per atom
Electronic total energy ... -14.002 eV/atom

Entry 4:
Density functional theory data (meta-GGA SCAN) for a PBEsol-optimized structure of BeGe2PBr.

Cell and atoms, written as POSCAR:
```
BeGe2PBr
1.0
-1.0001 -2.0954 3.5834
1.9681 -4.2985 -1.9643
4.5714 1.1916 1.9727
Be Ge P Br
1 2 1 1
direct
0.5000 0.0000 0.0000 Be
0.0000 0.5000 0.0000 Ge
0.0000 0.0000 0.5000 Ge
0.5000 0.5000 0.5000 P
0.0000 0.0000 0.0000 Br
```

## Properties
Size of the total moment ... 0.000 μB/cell
Energy above the most stable polymorph in this dataset ... 0.957 eV/atom
Raw formation energy ... 1432 meV per atom
Electronic total energy ... -13.045 eV/atom

Entry 5:
Density functional theory data (meta-GGA SCAN) for a PBEsol-optimized structure of BeH2Br.

Cell and atoms, written as POSCAR:
```
BeH2Br
1.0
3.7859 0.0000 0.0000
1.8930 3.2787 0.0000
1.8930 1.0929 3.0912
Be Br H
1 1 2
direct
0.0000 0.0000 0.0000 Be
0.5000 0.5000 0.5000 Br
0.7500 0.7500 0.7500 H
0.2500 0.2500 0.2500 H
```

## Properties
Size of the total moment ... 0.016 μB/cell
Energy above the most stable polymorph in this dataset ... 0.976 eV/atom
Electronic total energy ... -6.354 eV/atom

Entry 6:
Density functional theory data (meta-GGA SCAN) for a PBEsol-optimized structure of BeH2Br.

Cell and atoms, written as POSCAR:
```
BeH2Br
1.0
4.9315 0.0000 0.0000
2.4658 4.2708 0.0000
2.4658 1.4236 4.0266
Br H Be
2 4 2
direct
0.7500 0.7500 0.7500 Br
0.5000 0.5000 0.5000 Br
0.1250 0.1250 0.1250 H
0.6250 0.1250 0.1250 H
0.1250 0.6250 0.1250 H
0.1250 0.1250 0.6250 H
0.2500 0.2500 0.2500 Be
0.0000 0.0000 0.0000 Be
```

## Properties
Size of the total moment ... 0.015 μB/cell
Energy above the most stable polymorph in this dataset ... 0.000 eV/atom
Electronic total energy ... -7.331 eV/atom

Entry 7:
Density functional theory data (meta-GGA SCAN) for a PBEsol-optimized structure of BeH2IBr.

Cell and atoms, written as POSCAR:
```
BeH2IBr
1.0
-0.1944 -3.9655 -0.1960
2.9897 -0.0171 -2.6198
3.4730 -0.3662 3.9657
H I Br Be
2 1 1 1
direct
0.5000 0.0000 0.0000 H
0.0000 0.5000 0.0000 H
0.0000 0.0000 0.5000 I
0.5000 0.5000 0.5000 Br
0.0000 0.0000 0.0000 Be
```

## Properties
Size of the total moment ... 0.000 μB/cell
Electronic total energy ... -12.775 eV/atom

Entry 8:
Density functional theory data (meta-GGA SCAN) for a PBEsol-optimized structure of Be2SnHBr.

Cell and atoms, written as POSCAR:
```
Be2SnHBr
1.0
3.8890 0.0000 0.0000
0.0000 4.7546 0.0000
0.0000 0.0000 4.7546
H Sn Be Br
1 1 2 1
direct
0.5000 0.0000 0.0000 H
0.0000 0.0000 0.0000 Sn
0.0000 0.0000 0.5000 Be
0.0000 0.5000 0.0000 Be
0.5000 0.5000 0.5000 Br
```

## Properties
Size of the total moment ... 0.000 μB/cell
Electronic total energy ... -13.026 eV/atom

Entry 9:
Density functional theory data (meta-GGA SCAN) for a PBEsol-optimized structure of Hf3BeBr.

Cell and atoms, written as POSCAR:
```
Hf3BeBr
1.0
4.6808 0.0000 0.0000
0.0000 4.6808 0.0000
0.0000 0.0000 4.6808
Hf Br Be
3 1 1
direct
0.5000 0.0000 0.0000 Hf
0.0000 0.5000 0.0000 Hf
0.0000 0.0000 0.5000 Hf
0.5000 0.5000 0.5000 Br
0.0000 0.0000 0.0000 Be
```

## Properties
Size of the total moment ... 0.000 μB/cell
Raw formation energy ... 614 meV per atom
Electronic total energy ... -41.752 eV/atom

Entry 10:
Density functional theory data (meta-GGA SCAN) for a PBEsol-optimized structure of HfBe2PbBr.

Cell and atoms, written as POSCAR:
```
HfBe2PbBr
1.0
4.4070 0.0000 0.0000
0.0000 4.4070 0.0000
0.0000 0.0000 5.0365
Be Br Pb Hf
2 1 1 1
direct
0.0000 0.5000 0.0000 Be
0.5000 0.0000 0.0000 Be
0.0000 0.0000 0.0000 Br
0.5000 0.5000 0.5000 Pb
0.0000 0.0000 0.5000 Hf
```

## Properties
Size of the total moment ... 0.000 μB/cell
Raw formation energy ... 1026 meV per atom
Electronic total energy ... -32.298 eV/atom

Entry 11:
Density functional theory data (meta-GGA SCAN) for a PBEsol-optimized structure of HfBeTeBr2.

Cell and atoms, written as POSCAR:
```
HfBeTeBr2
1.0
-3.8697 0.3000 2.3716
-0.5959 -4.4912 -0.4041
2.6779 -0.7570 4.4654
Br Be Hf Te
2 1 1 1
direct
0.5000 0.0000 0.0000 Br
0.0000 0.5000 0.0000 Br
0.0000 0.0000 0.0000 Be
0.5000 0.5000 0.5000 Hf
0.0000 0.0000 0.5000 Te
```

## Properties
Size of the total moment ... 1.444 μB/cell
Raw formation energy ... 130 meV per atom
Electronic total energy ... -28.510 eV/atom

Entry 12:
Density functional theory data (meta-GGA SCAN) for a PBEsol-optimized structure of BeHgBr3.

Cell and atoms, written as POSCAR:
```
BeHgBr3
1.0
-2.6372 3.6006 -1.8023
-3.2914 -3.1688 -1.5142
-2.3193 0.4028 4.1984
Hg Br Be
1 3 1
direct
0.5000 0.5000 0.5000 Hg
0.0000 0.5000 0.0000 Br
0.5000 0.0000 0.0000 Br
0.0000 0.0000 0.5000 Br
0.0000 0.0000 0.0000 Be
```

## Properties
Size of the total moment ... 0.000 μB/cell
Raw formation energy ... -295 meV per atom
Electronic total energy ... -26.475 eV/atom

What did the second record say?
Density functional theory data (meta-GGA SCAN) for a PBEsol-optimized structure of BeGeBr2O.

Cell and atoms, written as POSCAR:
```
BeGeBr2O
1.0
-3.1039 -1.6968 -0.8106
1.0748 -3.6927 3.6142
-2.5146 2.8511 3.6608
O Ge Br Be
1 1 2 1
direct
0.5000 0.0000 0.0000 O
0.0000 0.0000 0.0000 Ge
0.0000 0.0000 0.5000 Br
0.0000 0.5000 0.0000 Br
0.5000 0.5000 0.5000 Be
```

## Properties
Size of the total moment ... 0.815 μB/cell
Raw formation energy ... 52 meV per atom
Electronic total energy ... -13.667 eV/atom

The lowest electronic total energy belongs to which entry? Hf3BeBr

The lowest electronic total energy belongs to which entry? Hf3BeBr

Which of these has the lowest electronic total energy? Hf3BeBr